Below is crystalline Sc2O3 at its relaxed geometry, with properties calculated at the GGA-PBE level.

Cell lengths 6.882, 6.882, 8.057 Å; angles 100.42, 100.42, 27.02 degrees
Fractional positions:
Sc 0.031 0.031 0.316
Sc 0.308 0.308 0.363
Sc 0.364 0.364 0.013
Sc 0.636 0.636 0.987
Sc 0.692 0.692 0.637
Sc 0.969 0.969 0.684
O 0.126 0.126 0.780
O 0.174 0.174 0.465
O 0.209 0.209 0.122
O 0.467 0.467 0.841
O 0.500 0.500 0.500
O 0.533 0.533 0.159
O 0.791 0.791 0.878
O 0.826 0.826 0.535
O 0.874 0.874 0.220

## Properties
Total energy in eV/atom: -8.984
Total moment in μB/atom: 0.000